A plane-wave DFT calculation with GGA-PBE was carried out for a relaxed structure of HfZr2O4.

## Properties
- Symmetry: Fd-3m
- DFT total energy: -130.6 eV for the cell shown

a = 6.4495 Å, b = 6.4495 Å, c = 6.4495 Å
α = 119.99°, β = 90.01°, γ = 119.99°
With the nearest neighbours (Å) after each atom.
Fractional coordinates of all 14 atoms:
O (0.1238, 0.2476, 0.3714)  1 Hf 1.96
O (0.1239, 0.2476, 0.8762)  1 Hf 1.96
O (0.6286, 0.7523, 0.8762)  1 Hf 1.96
O (0.6262, 0.2524, 0.8786)  1 Hf 1.96
O (0.6262, 0.7476, 0.3739)  1 Hf 1.96
O (0.1238, 0.7523, 0.8761)  1 Hf 1.96
O (0.6261, 0.2524, 0.3738)  1 Hf 1.96
O (0.1214, 0.7476, 0.3738)  1 Hf 1.96
Zr (0.3750, 0.2500, 0.6250)  6 O 2.29
Zr (0.8750, 0.2500, 0.6250)  6 O 2.29
Zr (0.3750, 0.7500, 0.6250)  6 O 2.29
Zr (0.3750, 0.7500, 0.1250)  6 O 2.29
Hf (0.0000, 0.0000, 0.0000)  4 O 1.96
Hf (0.7500, 0.5000, 0.2500)  4 O 1.96